K2In3Pt: optimized geometry, PBE-GGA.

The value obtained for the formation energy is -0.1818 eV per atom.

It has space group C2/m (No. 12), with a = 6.175 Å, b = 15.029 Å, c = 8.631 Å, α = 90.00°, β = 94.23° and γ = 90.00°. The distinct sites, in fractional coordinates, are K at (0.000, 0.000, 0.000), K at (0.000, 0.000, 0.500), K at (0.000, 0.341, 0.000), In at (0.005, 0.500, 0.695), In at (0.143, 0.209, 0.329) and Pt at (0.000, 0.356, 0.500).